First-principles (PBE with a Hubbard U) data for an optimized crystal structure of Rb2ScVF6, as listed in the Alexandria database.

```
Rb2ScVF6
1.0
-3.997 4.419 -1.291
-4.603 -3.859 1.043
-4.344 1.470 4.083
F Sc Rb V
6 1 2 1
Cartesian
-4.322 0.886 2.020 F
-2.143 0.139 -0.062 F
-8.621 1.143 1.815 F
-6.457 0.420 -0.187 F
-4.452 -1.796 0.461 F
-4.148 2.356 -0.710 F
-4.300 0.280 -0.124 Sc
-6.320 3.084 1.334 Rb
-6.623 -1.055 2.501 Rb
0.000 0.000 0.000 V
```

Properties
Space-group type: I4/mmm
ρ in g/cm³: 3.89
E in eV/atom: -5.60